Material: CoPt2Au
Method: DFT, GGA-PBEsol
State: optimized geometry

The calculation puts the total energy at -6.3020 eV/atom. Its density of states at the Fermi level is 1.476 states/eV per atom. The formation energy is 0.10 eV per atom.

The space group is P4/mmm (No. 123) and the conventional cell measures 3.864, 3.864 and 3.880 Å, with angles of 90.00, 90.00 and 90.00 degrees. Symmetry generates all atoms from Co at (0.000, 0.000, 0.000), Pt at (0.000, 0.500, 0.500) and Au at (0.500, 0.500, 0.000).


Material: Co2PtAu
Method: DFT, GGA-PBEsol
State: optimized geometry

The calculation puts the total energy at -6.4832 eV/atom. Its density of states at the Fermi level is 1.236 states/eV per atom. The formation energy is 0.11 eV per atom.

The space group is Cmmm (No. 65) and the conventional cell measures 5.367, 7.344 and 2.699 Å, with angles of 90.00, 90.00 and 90.00 degrees. Symmetry generates all atoms from Co at (0.250, 0.250, 0.000), Pt at (0.000, 0.000, 0.500) and Au at (0.000, 0.500, 0.500).


Material: CoPtAu2
Method: DFT, GGA-PBEsol
State: optimized geometry

The calculation puts the total energy at -5.5921 eV/atom. Its density of states at the Fermi level is 0.845 states/eV per atom. The formation energy is 0.05 eV per atom.

The space group is P4mm (No. 99) and the conventional cell measures 2.771, 2.771 and 7.764 Å, with angles of 90.00, 90.00 and 90.00 degrees. Symmetry generates all atoms from Co at (0.000, 0.000, 0.000), Pt at (0.500, 0.500, 0.211), Au at (0.000, 0.000, 0.482) and Au at (0.500, 0.500, 0.763).


Material: CoPt2Au
Method: DFT, GGA-PBEsol
State: optimized geometry

The calculation puts the total energy at -6.3922 eV/atom. Its density of states at the Fermi level is 1.055 states/eV per atom. The formation energy is 0.00 eV per atom.

The space group is R-3m (No. 166, hexagonal axes) and the conventional cell measures 2.7385, 2.7385 and 26.8428 Å, with angles of 90.00, 90.00 and 120.00 degrees. Symmetry generates all atoms from Co at (0.0000, 0.0000, 0.0000), Pt at (0.0000, 0.0000, 0.2575) and Au at (0.0000, 0.0000, 0.5000).